# 1
# Cr2BiS PBE-GGA relaxed
# * offset from the most stable computed form: 0.2623 eV/atom
# * formation energy (no corrections): 428 meV/atom
data_Cr2BiS
_chemical_formula_sum 'Cr2 Bi1 S1'
_symmetry_space_group_name_H-M 'P 1'
_symmetry_Int_Tables_number 1
_symmetry_space_group_name_Hall 'P 1'
_cell_length_a 4.7702
_cell_length_b 4.7702
_cell_length_c 4.7702
_cell_angle_alpha 60.00
_cell_angle_beta 60.00
_cell_angle_gamma 60.00
loop_
_atom_site_label
_atom_site_type_symbol
_atom_site_fract_x
_atom_site_fract_y
_atom_site_fract_z
S1 S 0.0000 0.0000 0.0000
Cr1 Cr 0.7500 0.7500 0.7500
Bi1 Bi 0.5000 0.5000 0.5000
Cr2 Cr 0.2500 0.2500 0.2500

***

# 2
# Pr3Ho6Tm2Mg PBE-GGA relaxed
# * formation energy from the elements: 0.04 eV/atom
data_Pr3Ho6Tm2Mg
_chemical_formula_sum 'Pr3 Ho6 Tm2 Mg1'
_symmetry_space_group_name_H-M 'P 1'
_symmetry_Int_Tables_number 1
_symmetry_space_group_name_Hall 'P 1'
_cell_length_a 6.1719
_cell_length_b 6.1719
_cell_length_c 11.6789
_cell_angle_alpha 95.08
_cell_angle_beta 95.08
_cell_angle_gamma 120.01
loop_
_atom_site_label
_atom_site_type_symbol
_atom_site_fract_x
_atom_site_fract_y
_atom_site_fract_z
Tm1 Tm 0.3336 0.6664 0.0000
Pr1 Pr 0.8346 0.1654 0.5000
Ho1 Ho 0.9199 0.5870 0.7574
Ho2 Ho 0.7470 0.7470 0.2430
Mg1 Mg 0.0000 0.0000 0.0000
Ho3 Ho 0.5870 0.9199 0.7574
Pr2 Pr 0.5000 0.5000 0.5000
Ho4 Ho 0.4130 0.0801 0.2426
Ho5 Ho 0.0801 0.4130 0.2426
Tm2 Tm 0.6664 0.3336 0.0000
Pr3 Pr 0.1654 0.8346 0.5000
Ho6 Ho 0.2530 0.2530 0.7570

***

# 3
# PaBe2Ni2 PBE-GGA relaxed
# * offset from the most stable computed form: 0.0000 eV/atom
# * formation energy from the elements: -0.34 eV/atom
data_PaBe2Ni2
_chemical_formula_sum 'Pa2 Be4 Ni4'
_symmetry_space_group_name_H-M 'P 1'
_symmetry_Int_Tables_number 1
_symmetry_space_group_name_Hall 'P 1'
_cell_length_a 3.9763
_cell_length_b 3.9763
_cell_length_c 8.9305
_cell_angle_alpha 90.00
_cell_angle_beta 90.00
_cell_angle_gamma 108.99
loop_
_atom_site_label
_atom_site_type_symbol
_atom_site_fract_x
_atom_site_fract_y
_atom_site_fract_z
Ni1 Ni 0.2501 0.2501 0.3916
Ni2 Ni 0.7499 0.7499 0.6084
Ni3 Ni 0.2501 0.2501 0.1084
Be1 Be 0.7501 0.2499 0.5000
Be2 Be 0.2499 0.7501 0.0000
Pa1 Pa 0.7501 0.7501 0.2500
Ni4 Ni 0.7499 0.7499 0.8916
Be3 Be 0.2499 0.7501 0.5000
Pa2 Pa 0.2499 0.2499 0.7500
Be4 Be 0.7501 0.2499 0.0000

***

# 4
# YCr2Rh PBE-GGA relaxed
# * offset from the most stable computed form: 0.2769 eV/atom
# * formation energy from the elements: 0.34 eV/atom
data_YCr2Rh
_chemical_formula_sum 'Y1 Cr2 Rh1'
_symmetry_space_group_name_H-M 'P 1'
_symmetry_Int_Tables_number 1
_symmetry_space_group_name_Hall 'P 1'
_cell_length_a 5.4406
_cell_length_b 5.4406
_cell_length_c 5.4406
_cell_angle_alpha 146.13
_cell_angle_beta 132.98
_cell_angle_gamma 59.20
loop_
_atom_site_label
_atom_site_type_symbol
_atom_site_fract_x
_atom_site_fract_y
_atom_site_fract_z
Y1 Y 0.2500 0.7500 0.5000
Cr1 Cr 0.5115 0.5115 0.0000
Cr2 Cr 0.9885 0.9885 0.0000
Rh1 Rh 0.7500 0.2500 0.5000

***

| no. | N(E_F) (states/eV per atom) |
| --- | --- |
| 1 | 0.739 |
| 2 | 1.419 |
| 3 | 0.627 |
| 4 | 1.233 |